Record 1
{"formula": "K2VCrF6", "functional": "PBE+U", "state": "optimized geometry", "dos_at_fermi_per_ev_cell": 0.000, "dft_energy_ev_per_atom": -5.56, "total_magnetization_mub_per_fu": 7.00, "lattice": [[-6.052, -0.209, 0.299], [-0.039, -4.555, -3.959], [0.441, -5.396, 6.205]], "species": ["F", "F", "F", "F", "F", "F", "F", "F", "F", "F", "F", "F", "K", "K", "K", "K", "V", "V", "Cr", "Cr"], "frac_coords": [[0.728, 0.736, 0.477], [0.263, 0.271, 0.978], [0.237, 0.771, 0.522], [0.955, 0.496, 0.743], [0.455, 0.004, 0.243], [0.045, 0.504, 0.257], [0.737, 0.729, 0.022], [0.772, 0.236, 0.023], [0.272, 0.264, 0.523], [0.228, 0.764, 0.977], [0.545, 0.996, 0.757], [0.763, 0.229, 0.478], [0.499, 0.511, 0.750], [0.999, 0.989, 0.250], [0.501, 0.489, 0.250], [0.001, 0.011, 0.750], [0.500, 0.000, 0.500], [0.000, 0.500, 0.000], [0.000, 0.500, 0.500], [0.500, 0.000, 0.000]]}

***

Record 2
{"formula": "KVCr2F8", "functional": "PBE+U", "state": "optimized geometry", "dft_energy_ev_per_atom": -5.91, "total_magnetization_mub_per_fu": 10.00, "lattice": [[5.062, 0.227, 0.210], [0.289, 5.092, 0.252], [0.319, 0.364, 7.160]], "species": ["F", "F", "F", "F", "F", "F", "F", "F", "Cr", "Cr", "K", "V"], "frac_coords": [[0.651, 0.674, 0.532], [0.727, 0.746, 0.039], [0.349, 0.326, 0.468], [0.198, 0.787, 0.201], [0.802, 0.213, 0.799], [0.273, 0.254, 0.961], [0.804, 0.215, 0.194], [0.196, 0.785, 0.806], [0.531, 0.530, 0.252], [0.469, 0.470, 0.748], [0.000, 0.000, 0.500], [0.000, 0.000, 0.000]]}

***

Record 3
{"formula": "K3VCr2F9", "functional": "PBE+U", "state": "optimized geometry", "dos_at_fermi_per_ev_cell": 1.716, "dft_energy_ev_per_atom": -5.50, "total_magnetization_mub_per_fu": 11.00, "lattice": [[-0.970, 2.903, 5.126], [-0.869, -5.899, -0.300], [6.947, -1.122, 1.950]], "species": ["F", "F", "F", "F", "F", "F", "F", "F", "F", "K", "K", "K", "V", "Cr", "Cr"], "frac_coords": [[0.833, 0.667, 0.668], [0.167, 0.833, 0.332], [0.000, 0.500, 0.000], [0.833, 0.167, 0.668], [0.500, 0.000, 0.000], [0.667, 0.833, 0.332], [0.500, 0.500, 0.000], [0.333, 0.167, 0.668], [0.167, 0.333, 0.332], [0.000, 0.000, 0.000], [0.333, 0.667, 0.663], [0.667, 0.333, 0.337], [0.000, 0.000, 0.500], [0.333, 0.667, 0.164], [0.667, 0.333, 0.836]]}

***

Record 4
{"formula": "KYCrF6", "functional": "PBE+U", "state": "optimized geometry", "dos_at_fermi_per_ev_cell": 13.533, "dft_energy_ev_per_atom": -6.12, "total_magnetization_mub_per_fu": 4.00, "lattice": [[-4.704, 2.208, 2.757], [-0.283, -1.276, -5.736], [-3.335, -10.120, 2.415]], "species": ["F", "F", "F", "F", "F", "F", "F", "F", "F", "F", "F", "F", "Y", "Y", "Cr", "Cr", "K", "K"], "frac_coords": [[0.369, 0.993, 0.146], [0.624, 0.631, 0.146], [0.376, 0.007, 0.646], [0.631, 0.624, 0.646], [0.631, 0.007, 0.854], [0.993, 0.624, 0.854], [0.993, 0.369, 0.646], [0.007, 0.376, 0.146], [0.376, 0.369, 0.854], [0.369, 0.376, 0.354], [0.624, 0.993, 0.354], [0.007, 0.631, 0.354], [0.333, 0.667, 0.750], [0.667, 0.333, 0.250], [0.333, 0.667, 0.250], [0.667, 0.333, 0.750], [0.000, 0.000, 0.500], [0.000, 0.000, 0.000]]}

***

Record 5
{"formula": "KZnCrF", "functional": "PBE+U", "state": "optimized geometry", "dos_at_fermi_per_ev_cell": 1.370, "dft_energy_ev_per_atom": -3.85, "total_magnetization_mub_per_fu": 4.43, "polymorph_energy_ev_per_atom": 0.000, "lattice": [[3.529, -0.032, 0.116], [0.030, 3.573, 0.075], [1.531, 1.627, 7.018]], "species": ["Cr", "F", "Zn", "K"], "frac_coords": [[0.422, 0.873, 0.730], [0.573, 0.026, 0.425], [0.847, 0.297, 0.882], [0.130, 0.584, 0.309]]}

***

Record 6
{"formula": "KZnCrF", "functional": "PBE+U", "state": "optimized geometry", "dos_at_fermi_per_ev_cell": 1.960, "dft_energy_ev_per_atom": -3.77, "total_magnetization_mub_per_fu": 4.42, "polymorph_energy_ev_per_atom": 0.086, "lattice": [[3.153, 0.000, 0.000], [0.000, 3.858, 0.000], [0.000, 0.000, 13.744]], "species": ["K", "K", "Zn", "Zn", "F", "F", "Cr", "Cr"], "frac_coords": [[0.000, 0.500, 0.661], [0.000, 0.000, 0.161], [0.500, 0.500, 0.952], [0.500, 0.000, 0.452], [0.500, 0.500, 0.233], [0.500, 0.000, 0.733], [0.000, 0.500, 0.374], [0.000, 0.000, 0.874]]}

***

Record 7
{"formula": "KZnCrF", "functional": "PBE+U", "state": "optimized geometry", "dos_at_fermi_per_ev_cell": 1.800, "dft_energy_ev_per_atom": -3.79, "total_magnetization_mub_per_fu": 4.95, "polymorph_energy_ev_per_atom": 0.064, "lattice": [[7.113, 0.000, -0.930], [0.000, 5.139, 0.000], [-1.211, 0.000, 4.993]], "species": ["Zn", "Zn", "K", "K", "Cr", "Cr", "F", "F"], "frac_coords": [[0.938, 0.500, 0.598], [0.938, 0.000, 0.098], [0.346, 0.000, 0.802], [0.346, 0.500, 0.302], [0.798, 0.000, 0.526], [0.798, 0.500, 0.026], [0.264, 0.500, 0.761], [0.264, 0.000, 0.261]]}

***

Record 8
{"formula": "K2ZnCrF6", "functional": "PBE+U", "state": "optimized geometry", "dos_at_fermi_per_ev_cell": 0.000, "dft_energy_ev_per_atom": -4.84, "total_magnetization_mub_per_fu": 4.00, "lattice": [[5.975, 0.000, 0.000], [0.000, 5.974, 0.000], [0.000, 0.000, 8.238]], "species": ["F", "F", "F", "F", "F", "F", "F", "F", "F", "F", "F", "F", "K", "K", "K", "K", "Cr", "Cr", "Zn", "Zn"], "frac_coords": [[0.242, 0.992, 0.500], [0.758, 0.992, 0.500], [0.258, 0.492, 0.000], [0.242, 0.508, 0.500], [0.500, 0.250, 0.744], [0.500, 0.250, 0.256], [0.742, 0.492, 0.000], [0.258, 0.008, 0.000], [0.000, 0.750, 0.756], [0.758, 0.508, 0.500], [0.742, 0.008, 0.000], [0.000, 0.750, 0.244], [0.000, 0.250, 0.750], [0.000, 0.250, 0.250], [0.500, 0.750, 0.250], [0.500, 0.750, 0.750], [0.500, 0.250, 0.500], [0.000, 0.750, 0.000], [0.000, 0.750, 0.500], [0.500, 0.250, 0.000]]}